# LiAcHg4

An optimized crystal structure of LiAcHg4 (PBE, Alexandria via LeMat-Bulk).

POSCAR file:
```
LiAcHg4
1.0
6.430 4.540 5.311
-7.456 -1.942 5.551
3.680 -8.012 -3.526
Hg Ac Li
16 4 4
Cartesian
-3.031 0.699 7.503
0.076 -3.640 0.878
1.914 -3.977 3.299
-3.727 -1.788 5.866
2.298 -4.950 -0.766
-2.647 -0.273 3.439
0.357 -0.464 8.101
2.578 -1.774 6.458
2.006 1.899 3.358
6.381 -3.626 1.470
2.766 -2.385 0.832
3.928 1.786 5.734
0.740 -1.437 4.037
1.622 2.872 7.423
-0.111 -3.029 6.504
-1.274 -7.200 1.602
-0.155 0.393 1.642
4.799 -1.086 3.608
-0.870 2.206 9.220
-2.144 -4.328 3.728
1.431 0.632 5.774
1.224 -6.046 1.562
-1.238 -0.614 5.820
3.893 -4.800 1.516
```

The value obtained for the formation energy from the elements is -197 meV per atom. The value obtained for the polymorph energy (0 for the lowest one) is 0.022 eV/atom.

---

# SiAg2P

An optimized crystal structure of SiAg2P (PBE, Alexandria via LeMat-Bulk).

POSCAR file:
```
SiAg2P
1.0
-0.435 -0.430 -3.165
-2.745 -1.583 0.592
-3.372 5.728 -0.315
P Ag Si
1 2 1
Cartesian
-1.928 3.276 -0.180
-2.439 0.436 -1.366
-3.310 5.623 -0.309
-3.932 2.972 -1.505
```

The formation energy (no corrections) is 113 kJ/mol of formula units. The value obtained for the polymorph energy (0 for the lowest one) is 0.130 eV/atom.

---

# Na4Pd3PtO8

An optimized crystal structure of Na4Pd3PtO8 (PBE, Alexandria via LeMat-Bulk).

POSCAR file:
```
Na4Pd3PtO8
1.0
-1.626 5.491 -2.202
-0.587 -2.408 -5.570
-3.992 -2.490 5.285
O Pt Pd Na
8 1 3 4
Cartesian
-5.012 1.017 1.972
-4.041 2.010 -0.552
-4.200 -1.722 3.071
-3.194 -0.733 0.530
-2.004 2.315 -5.558
-1.193 -0.425 -4.459
-3.011 1.326 -3.016
-2.164 -1.417 -1.934
-0.293 -1.204 -2.785
-2.289 -2.449 -0.142
-1.106 1.541 -3.886
-3.102 0.296 -1.243
0.000 0.000 0.000
-1.996 -1.245 2.643
-2.809 1.500 1.541
-0.813 2.745 -1.101
```

The formation energy (no corrections) is -1444 kJ/mol of formula units.

---

# HgPdNO2

An optimized crystal structure of HgPdNO2 (PBE, Alexandria via LeMat-Bulk).

POSCAR file:
```
HgPdNO2
1.0
4.241 0.000 0.000
0.000 4.241 0.000
0.000 0.000 3.688
O Hg N Pd
2 1 1 1
Cartesian
0.000 2.120 0.000
2.120 0.000 0.000
2.120 2.120 1.844
0.000 0.000 1.844
0.000 0.000 0.000
```

The formation energy (no corrections) is 346 kJ/mol of formula units.

---

> Number 2 is which compound?

SiAg2P